## a
This record from Alexandria via LeMat-Bulk describes As2I2F after structural relaxation. The functional is GGA-PBE.

Unit cell a=5.5586 b=5.5586 c=5.5586 alpha=116.46 beta=116.46 gamma=96.26
Element x y z (fractional)
As 0.1771 0.1771 0.0000
As 0.8229 0.8229 0.0000
I 0.2500 0.7500 0.5000
I 0.7500 0.2500 0.5000
F 0.5000 0.5000 0.0000

Output
Crystal system ... tetragonal
Space-group type ... No. 139



## b
This record from Alexandria via LeMat-Bulk describes As2I2F after structural relaxation. The functional is GGA-PBE.

Unit cell a=7.2472 b=7.2472 c=4.5758 alpha=90.00 beta=90.00 gamma=90.00
Element x y z (fractional)
As 0.1226 0.3774 0.0000
As 0.3774 0.8774 0.0000
As 0.6226 0.1226 0.0000
As 0.8774 0.6226 0.0000
I 0.1743 0.6743 0.5000
I 0.3257 0.1743 0.5000
I 0.6743 0.8257 0.5000
I 0.8257 0.3257 0.5000
F 0.0000 0.0000 0.0000
F 0.5000 0.5000 0.0000

Output
Crystal system ... tetragonal
Space-group type ... No. 127



Which structure loses on stability? b does.



## a
This record from Alexandria via LeMat-Bulk describes As2IF after structural relaxation. The functional is GGA-PBE.

Unit cell a=9.7630 b=9.7630 c=9.7630 alpha=153.90 beta=153.90 gamma=37.24
Element x y z (fractional)
As 0.0448 0.6250 0.9198
As 0.3750 0.2948 0.4198
As 0.7052 0.1250 0.0802
As 0.8750 0.9552 0.5802
I 0.2500 0.7500 0.5000
I 0.5000 0.5000 0.0000
F 0.0000 0.0000 0.0000
F 0.7500 0.2500 0.5000

Output
Crystal system ... tetragonal
Space-group type ... No. 122



## b
This record from Alexandria via LeMat-Bulk describes As2IF after structural relaxation. The functional is GGA-PBE.

Unit cell a=4.8504 b=4.8504 c=4.8504 alpha=60.00 beta=60.00 gamma=60.00
Element x y z (fractional)
As 0.2500 0.2500 0.2500
As 0.7500 0.7500 0.7500
I 0.0000 0.0000 0.0000
F 0.5000 0.5000 0.5000

Output
Crystal system ... cubic
Space-group type ... No. 225



Which structure loses on stability? b does.



## a
This record from Alexandria via LeMat-Bulk describes As3IF after structural relaxation. The functional is GGA-PBE.

Unit cell a=5.3922 b=5.3922 c=5.3922 alpha=90.00 beta=90.00 gamma=90.00
Element x y z (fractional)
As 0.0000 0.0000 0.5000
As 0.0000 0.5000 0.0000
As 0.5000 0.0000 0.0000
I 0.0000 0.0000 0.0000
F 0.5000 0.5000 0.5000

Output
Crystal system ... cubic
Space-group type ... No. 221



## b
This record from Alexandria via LeMat-Bulk describes As3IF after structural relaxation. The functional is GGA-PBE.

Unit cell a=4.7465 b=4.7465 c=4.7465 alpha=90.00 beta=90.00 gamma=90.00
Element x y z (fractional)
As 0.0000 0.0000 0.5000
As 0.0000 0.5000 0.0000
As 0.5000 0.0000 0.0000
I 0.5000 0.5000 0.5000
F 0.0000 0.0000 0.0000

Output
Crystal system ... cubic
Space-group type ... No. 221



Which structure loses on stability? a does.



## a
This record from Alexandria via LeMat-Bulk describes AsI2OF after structural relaxation. The functional is GGA-PBE.

Unit cell a=5.7892 b=5.7892 c=3.6732 alpha=90.00 beta=90.00 gamma=90.00
Element x y z (fractional)
As 0.0000 0.0000 0.0000
I 0.0000 0.5000 0.0000
I 0.5000 0.0000 0.0000
O 0.0000 0.0000 0.5000
F 0.5000 0.5000 0.5000

Output
Crystal system ... tetragonal
Space-group type ... No. 123



## b
This record from Alexandria via LeMat-Bulk describes AsI2OF after structural relaxation. The functional is GGA-PBE.

Unit cell a=5.1786 b=5.1786 c=3.8810 alpha=90.00 beta=90.00 gamma=90.00
Element x y z (fractional)
As 0.0000 0.0000 0.0000
I 0.0000 0.5000 0.5000
I 0.5000 0.0000 0.5000
O 0.5000 0.5000 0.0000
F 0.5000 0.5000 0.5000

Output
Crystal system ... tetragonal
Space-group type ... No. 123



Which structure loses on stability? b does.



## a
This record from Alexandria via LeMat-Bulk describes Sb2AsIF after structural relaxation. The functional is GGA-PBE.

Unit cell a=4.6847 b=4.6847 c=5.9920 alpha=90.00 beta=90.00 gamma=90.00
Element x y z (fractional)
Sb 0.0000 0.5000 0.0000
Sb 0.5000 0.0000 0.0000
As 0.0000 0.0000 0.5000
I 0.5000 0.5000 0.5000
F 0.5000 0.5000 0.0000

Output
Crystal system ... tetragonal
Space-group type ... No. 123



## b
This record from Alexandria via LeMat-Bulk describes Sb2AsIF after structural relaxation. The functional is GGA-PBE.

Unit cell a=5.4013 b=5.4013 c=5.6149 alpha=90.00 beta=90.00 gamma=90.00
Element x y z (fractional)
Sb 0.0000 0.5000 0.0000
Sb 0.5000 0.0000 0.0000
As 0.0000 0.0000 0.0000
I 0.0000 0.0000 0.5000
F 0.5000 0.5000 0.5000

Output
Crystal system ... tetragonal
Space-group type ... No. 123



Which structure loses on stability? b does.



## a
This record from Alexandria via LeMat-Bulk describes In3AsF after structural relaxation. The functional is GGA-PBE.

Unit cell a=5.4832 b=5.4832 c=5.4832 alpha=90.00 beta=90.00 gamma=90.00
Element x y z (fractional)
In 0.0000 0.0000 0.5000
In 0.0000 0.5000 0.0000
In 0.5000 0.0000 0.0000
As 0.0000 0.0000 0.0000
F 0.5000 0.5000 0.5000

Output
Crystal system ... cubic
Space-group type ... No. 221



## b
This record from Alexandria via LeMat-Bulk describes In3AsF after structural relaxation. The functional is GGA-PBE.

Unit cell a=5.0046 b=5.0046 c=5.0046 alpha=90.00 beta=90.00 gamma=90.00
Element x y z (fractional)
In 0.0000 0.0000 0.5000
In 0.0000 0.5000 0.0000
In 0.5000 0.0000 0.0000
As 0.5000 0.5000 0.5000
F 0.0000 0.0000 0.0000

Output
Crystal system ... cubic
Space-group type ... No. 221



Which structure loses on stability? a does.